No. 1
First-principles (PBE) data for an optimized crystal structure of AlFeP2, as listed in Alexandria.

Cell: 2.7232 2.7232 7.4314 Å, 90.00 90.00 90.00°
Closest atoms and distances in Å follow each position.
Space group P4mm (No. 99)
Asymmetric unit:
Al 0.0000 0.0000 0.0000 (multiplicity 1)  4 Fe 2.56, 4 P 2.71, 4 Al 2.72
Fe 0.5000 0.5000 0.2270 (multiplicity 1)  4 P 2.28
P 0.0000 0.0000 0.3908 (multiplicity 1)  4 Fe 2.28
P 0.5000 0.5000 0.7438 (multiplicity 1)  4 Al 2.71, 4 P 2.72

Results
crystal system	tetragonal
E_form	-52	meV per atom
calculated density	4.362	g/cm3

No. 2
First-principles (PBE) data for an optimized crystal structure of Al2Fe3P3, as listed in Alexandria.

Cell: 5.1481 6.1238 7.1178 Å, 69.14 77.10 78.12°
Closest atoms and distances in Å follow each position.
Space group P-1 (No. 2)
Asymmetric unit:
Al 0.1173 0.2006 0.4197 (multiplicity 2)  3 Fe 2.42-2.55, 2 P 2.56-2.67
Al 0.3312 0.8791 0.7769 (multiplicity 2)  4 Fe 2.42-2.65, 1 P 2.55
Fe 0.0378 0.2225 0.9445 (multiplicity 2)  5 P 2.19-2.40, 1 Al 2.42
Fe 0.3836 0.8178 0.4528 (multiplicity 2)  3 P 2.14-2.31
Fe 0.3853 0.5217 0.2564 (multiplicity 2)  5 P 2.21-2.40, 1 Al 2.43
P 0.2286 0.9253 0.1731 (multiplicity 2)  4 Fe 2.14-2.34
P 0.2552 0.4615 0.0049 (multiplicity 2)  4 Fe 2.21-2.30
P 0.2560 0.4464 0.6166 (multiplicity 2)  5 Fe 2.29-2.40, 1 Al 2.56

Results
crystal system	triclinic
E_form	-363	meV per atom
calculated density	5.159	g/cm3

> Which of these has the highest calculated density?

Al2Fe3P3